# 1
First-principles (PBE) data for a relaxed structure of Li2YHg2, as listed in Alexandria via LeMat-Bulk.

abc: 5.5795 5.5795 5.5664
angles: 51.93 51.93 51.88
Atoms (fractional coordinates):
Li 0.5837 0.5837 0.5815
Li 0.4163 0.4163 0.4185
Hg 0.7781 0.7781 0.7794
Hg 0.2219 0.2219 0.2206
Y 0.0000 0.0000 0.0000

Results
Energy of formation (kcal/mol of atoms): -8.16
Space-group type: C2/m
E (eV per atom): -2.533
Spin magnetization (μB/f.u.): 0.000

# 2
First-principles (PBE) data for a relaxed structure of Li5YHg6, as listed in Alexandria via LeMat-Bulk.

abc: 4.8399 6.8905 7.6106
angles: 90.00 108.17 90.00
Atoms (fractional coordinates):
Y 0.0000 0.0000 0.0000
Li 0.6688 0.0000 0.3423
Li 0.0000 0.5000 0.0000
Li 0.6616 0.5000 0.3220
Li 0.3312 0.0000 0.6577
Li 0.3384 0.5000 0.6780
Hg 0.5000 0.7276 0.0000
Hg 0.5000 0.2724 0.0000
Hg 0.8273 0.2665 0.6544
Hg 0.1727 0.2665 0.3456
Hg 0.1727 0.7335 0.3456
Hg 0.8273 0.7335 0.6544

Results
Energy of formation (kcal/mol of atoms): -8.76
Space-group type: P2/m
E (eV per atom): -1.867
Spin magnetization (μB/f.u.): 0.000

# 3
First-principles (PBE) data for a relaxed structure of Li4YHg5, as listed in Alexandria via LeMat-Bulk.

abc: 3.4579 3.4579 16.7179
angles: 90.00 90.00 90.00
Atoms (fractional coordinates):
Hg 0.5000 0.5000 0.5000
Hg 0.5000 0.5000 0.6880
Hg 0.5000 0.5000 0.8774
Hg 0.5000 0.5000 0.1226
Hg 0.5000 0.5000 0.3120
Y 0.0000 0.0000 0.0000
Li 0.0000 0.0000 0.7829
Li 0.0000 0.0000 0.4067
Li 0.0000 0.0000 0.5933
Li 0.0000 0.0000 0.2171

Results
Energy of formation (kcal/mol of atoms): -8.85
Space-group type: P4/mmm
E (eV per atom): -1.946
Spin magnetization (μB/f.u.): 0.315

# 4
First-principles (PBE) data for a relaxed structure of Li12YHg6, as listed in Alexandria via LeMat-Bulk.

abc: 7.3026 7.3026 7.3026
angles: 88.31 88.31 88.31
Atoms (fractional coordinates):
Li 0.0517 0.3985 0.1612
Li 0.4029 0.5235 0.8143
Li 0.9483 0.6015 0.8388
Li 0.1857 0.5971 0.4765
Li 0.6015 0.8388 0.9483
Li 0.5971 0.4765 0.1857
Li 0.4765 0.1857 0.5971
Li 0.1612 0.0517 0.3985
Li 0.5235 0.8143 0.4029
Li 0.3985 0.1612 0.0517
Li 0.8388 0.9483 0.6015
Li 0.8143 0.4029 0.5235
Hg 0.8727 0.7094 0.2805
Hg 0.2805 0.8727 0.7094
Hg 0.7195 0.1273 0.2906
Hg 0.2906 0.7195 0.1273
Hg 0.1273 0.2906 0.7195
Hg 0.7094 0.2805 0.8727
Y 0.0000 0.0000 0.0000

Results
Energy of formation (kcal/mol of atoms): -5.49
Space-group type: R-3
E (eV per atom): -1.882
Spin magnetization (μB/f.u.): 0.000

# 5
First-principles (PBE) data for a relaxed structure of LiYHg2, as listed in Alexandria via LeMat-Bulk.

abc: 3.8180 3.8743 6.4705
angles: 90.00 90.00 90.00
Atoms (fractional coordinates):
Y 0.5000 0.5000 0.7773
Li 0.0000 0.0000 0.4338
Hg 0.0000 0.0000 0.9931
Hg 0.5000 0.5000 0.2958

Results
Energy of formation (kcal/mol of atoms): -6.52
Space-group type: Pmm2
E (eV per atom): -2.528
Spin magnetization (μB/f.u.): 0.000

# 6
First-principles (PBE) data for a relaxed structure of Li2YHg9, as listed in Alexandria via LeMat-Bulk.

abc: 4.5497 4.5497 13.3656
angles: 90.00 90.00 90.00
Atoms (fractional coordinates):
Hg 0.0000 0.5000 0.1756
Hg 0.0000 0.5000 0.5000
Hg 0.5000 0.5000 0.3375
Hg 0.0000 0.5000 0.8244
Hg 0.5000 0.5000 0.6625
Hg 0.5000 0.5000 0.0000
Hg 0.5000 0.0000 0.1756
Hg 0.5000 0.0000 0.8244
Hg 0.5000 0.0000 0.5000
Li 0.0000 0.0000 0.6594
Li 0.0000 0.0000 0.3406
Y 0.0000 0.0000 0.0000

Results
Energy of formation (kcal/mol of atoms): -5.28
Space-group type: P4/mmm
E (eV per atom): -1.313
Spin magnetization (μB/f.u.): 0.000

# 7
First-principles (PBE) data for a relaxed structure of Li2YHg2, as listed in Alexandria via LeMat-Bulk.

abc: 3.9747 3.9747 7.4815
angles: 74.60 74.60 90.00
Atoms (fractional coordinates):
Hg 0.3891 0.3891 0.2218
Hg 0.6109 0.6109 0.7782
Y 0.0000 0.0000 0.0000
Li 0.7500 0.2500 0.5000
Li 0.2500 0.7500 0.5000

Results
Energy of formation (kcal/mol of atoms): -8.00
Space-group type: I4/mmm
E (eV per atom): -2.526
Spin magnetization (μB/f.u.): 0.000

# 8
First-principles (PBE) data for a relaxed structure of Li3YHg3, as listed in Alexandria via LeMat-Bulk.

abc: 6.9781 6.9781 6.9781
angles: 90.00 90.00 90.00
Atoms (fractional coordinates):
Y 0.0000 0.0000 0.0000
Y 0.5000 0.5000 0.5000
Hg 0.5000 0.2500 0.0000
Hg 0.0000 0.5000 0.7500
Hg 0.0000 0.5000 0.2500
Hg 0.2500 0.0000 0.5000
Hg 0.7500 0.0000 0.5000
Hg 0.5000 0.7500 0.0000
Li 0.2500 0.5000 0.0000
Li 0.7500 0.5000 0.0000
Li 0.5000 0.0000 0.7500
Li 0.0000 0.7500 0.5000
Li 0.5000 0.0000 0.2500
Li 0.0000 0.2500 0.5000

Results
Energy of formation (kcal/mol of atoms): 1.00
Space-group type: Pm-3n
E (eV per atom): -1.830
Spin magnetization (μB/f.u.): 0.000

# 9
First-principles (PBE) data for a relaxed structure of LiY2Hg2, as listed in Alexandria via LeMat-Bulk.

abc: 4.6212 4.6212 7.6473
angles: 72.41 72.41 90.00
Atoms (fractional coordinates):
Li 0.0000 0.0000 0.0000
Y 0.2500 0.7500 0.5000
Y 0.7500 0.2500 0.5000
Hg 0.5998 0.5998 0.8003
Hg 0.4002 0.4002 0.1997

Results
Energy of formation (kcal/mol of atoms): -0.80
Space-group type: I4/mmm
E (eV per atom): -3.124
Spin magnetization (μB/f.u.): 0.000

# 10
First-principles (PBE) data for a relaxed structure of LiYHg, as listed in Alexandria via LeMat-Bulk.

abc: 3.6726 3.6726 6.5863
angles: 90.00 90.00 120.00
Atoms (fractional coordinates):
Y 0.3333 0.6667 0.6800
Li 0.6667 0.3333 0.2909
Hg 0.0000 0.0000 0.0291

Results
Energy of formation (kcal/mol of atoms): -2.45
Space-group type: P3m1
E (eV per atom): -2.999
Spin magnetization (μB/f.u.): 0.318

# 11
First-principles (PBE) data for a relaxed structure of LiY3Hg12, as listed in Alexandria via LeMat-Bulk.

abc: 4.5551 4.5551 18.4843
angles: 90.00 90.00 90.00
Atoms (fractional coordinates):
Hg 0.0000 0.5000 0.6281
Hg 0.5000 0.5000 0.2459
Hg 0.5000 0.5000 0.7541
Hg 0.5000 0.0000 0.6281
Hg 0.5000 0.5000 0.0000
Hg 0.5000 0.0000 0.3719
Hg 0.5000 0.0000 0.8824
Hg 0.0000 0.5000 0.8824
Hg 0.0000 0.5000 0.3719
Hg 0.5000 0.5000 0.5000
Hg 0.5000 0.0000 0.1176
Hg 0.0000 0.5000 0.1176
Li 0.0000 0.0000 0.0000
Y 0.0000 0.0000 0.7610
Y 0.0000 0.0000 0.2390
Y 0.0000 0.0000 0.5000

Results
Energy of formation (kcal/mol of atoms): -6.94
Space-group type: P4/mmm
E (eV per atom): -1.859
Spin magnetization (μB/f.u.): 0.000

# 12
First-principles (PBE) data for a relaxed structure of LiY2Hg, as listed in Alexandria via LeMat-Bulk.

abc: 3.7455 3.7455 7.3115
angles: 90.00 90.00 90.00
Atoms (fractional coordinates):
Y 0.5000 0.5000 0.2844
Y 0.0000 0.0000 0.9716
Hg 0.0000 0.0000 0.5301
Li 0.5000 0.5000 0.7139

Results
Energy of formation (kcal/mol of atoms): -4.62
Space-group type: P4mm
E (eV per atom): -3.986
Spin magnetization (μB/f.u.): 0.846

# 13
First-principles (PBE) data for a relaxed structure of LiY4Hg5, as listed in Alexandria via LeMat-Bulk.

abc: 3.6765 3.6765 18.2841
angles: 90.00 90.00 90.00
Atoms (fractional coordinates):
Li 0.0000 0.0000 0.0000
Y 0.0000 0.0000 0.1896
Y 0.0000 0.0000 0.3963
Y 0.0000 0.0000 0.8104
Y 0.0000 0.0000 0.6037
Hg 0.5000 0.5000 0.0876
Hg 0.5000 0.5000 0.5000
Hg 0.5000 0.5000 0.9124
Hg 0.5000 0.5000 0.2938
Hg 0.5000 0.5000 0.7062

Results
Energy of formation (kcal/mol of atoms): -10.74
Space-group type: P4/mmm
E (eV per atom): -3.393
Spin magnetization (μB/f.u.): 0.001

# 14
First-principles (PBE) data for a relaxed structure of LiY2Hg, as listed in Alexandria via LeMat-Bulk.

abc: 5.9975 5.9975 5.9975
angles: 136.45 136.45 63.29
Atoms (fractional coordinates):
Y 0.2500 0.7500 0.5000
Y 0.0000 0.0000 0.0000
Hg 0.5000 0.5000 0.0000
Li 0.7500 0.2500 0.5000

Results
Energy of formation (kcal/mol of atoms): -2.74
Space-group type: I-4m2
E (eV per atom): -3.905
Spin magnetization (μB/f.u.): 0.000

# 15
First-principles (PBE) data for a relaxed structure of LiYHg, as listed in Alexandria via LeMat-Bulk.

abc: 4.7322 4.7322 3.5682
angles: 90.00 90.00 120.00
Atoms (fractional coordinates):
Y 0.3333 0.6667 0.6666
Li 0.6667 0.3333 0.1668
Hg 0.0000 0.0000 0.1666

Results
Energy of formation (kcal/mol of atoms): -7.07
Space-group type: P-6m2
E (eV per atom): -3.200
Spin magnetization (μB/f.u.): 0.000

# 16
First-principles (PBE) data for a relaxed structure of LiYHg2, as listed in Alexandria via LeMat-Bulk.

abc: 5.1678 3.5065 5.1876
angles: 90.01 90.00 90.00
Atoms (fractional coordinates):
Li 0.0000 0.6262 0.3810
Y 0.5000 0.6245 0.8606
Hg 0.5000 0.1245 0.3604
Hg 0.0000 0.1247 0.8980

Results
Energy of formation (kcal/mol of atoms): -9.31
Space-group type: Pm
E (eV per atom): -2.649
Spin magnetization (μB/f.u.): 0.000

# 17
First-principles (PBE) data for a relaxed structure of Li2YHg, as listed in Alexandria via LeMat-Bulk.

abc: 4.8068 4.8068 4.8068
angles: 60.00 60.00 60.00
Atoms (fractional coordinates):
Hg 0.5000 0.5000 0.5000
Y 0.0000 0.0000 0.0000
Li 0.2500 0.2500 0.2500
Li 0.7500 0.7500 0.7500

Results
Energy of formation (kcal/mol of atoms): -4.50
Space-group type: Fm-3m
E (eV per atom): -2.843
Spin magnetization (μB/f.u.): 0.000

# 18
First-principles (PBE) data for a relaxed structure of LiYHg6, as listed in Alexandria via LeMat-Bulk.

abc: 5.0526 6.5449 6.5449
angles: 120.00 90.00 90.00
Atoms (fractional coordinates):
Hg 0.0000 0.0929 0.4215
Hg 0.5000 0.9142 0.0858
Hg 0.5000 0.4211 0.0857
Hg 0.0000 0.5785 0.9071
Hg 0.5000 0.9143 0.5789
Hg 0.0000 0.5789 0.4211
Li 0.5000 0.4166 0.5834
Y 0.0000 0.0832 0.9168

Results
Energy of formation (kcal/mol of atoms): -6.13
Space-group type: P-6m2
E (eV per atom): -1.540
Spin magnetization (μB/f.u.): 0.000

# 19
First-principles (PBE) data for a relaxed structure of Li3YHg2, as listed in Alexandria via LeMat-Bulk.

abc: 4.1568 7.7220 9.5510
angles: 122.03 90.00 105.61
Atoms (fractional coordinates):
Li 0.0640 0.1280 0.4118
Li 0.5748 0.1496 0.6843
Li 0.9360 0.8720 0.5882
Li 0.4252 0.8504 0.3157
Li 0.7402 0.4805 0.5869
Li 0.2598 0.5195 0.4131
Y 0.1244 0.2489 0.9968
Y 0.8756 0.7511 0.0032
Hg 0.5753 0.1507 0.2172
Hg 0.2048 0.4097 0.7562
Hg 0.4247 0.8493 0.7828
Hg 0.7952 0.5903 0.2438

Results
Energy of formation (kcal/mol of atoms): -7.23
Space-group type: C2/m
E (eV per atom): -2.448
Spin magnetization (μB/f.u.): 0.000

# 20
First-principles (PBE) data for a relaxed structure of LiYHg4, as listed in Alexandria via LeMat-Bulk.

abc: 5.4533 3.8850 7.6324
angles: 75.48 77.86 110.88
Atoms (fractional coordinates):
Hg 0.0139 0.3443 0.8133
Hg 0.4822 0.8150 0.3444
Hg 0.5204 0.1796 0.6518
Hg 0.9888 0.6501 0.1830
Li 0.0012 0.9974 0.4982
Y 0.5013 0.4972 0.9981

Results
Energy of formation (kcal/mol of atoms): -7.47
Space-group type: P-1
E (eV per atom): -1.921
Spin magnetization (μB/f.u.): 0.000

# 21
First-principles (PBE) data for a relaxed structure of LiY4Hg2, as listed in Alexandria via LeMat-Bulk.

abc: 5.1822 5.1822 8.8307
angles: 72.94 72.94 60.00
Atoms (fractional coordinates):
Y 0.3828 0.3828 0.8515
Y 0.1304 0.1304 0.6089
Y 0.6172 0.6172 0.1485
Y 0.8696 0.8696 0.3911
Li 0.0000 0.0000 0.0000
Hg 0.7434 0.7434 0.7698
Hg 0.2566 0.2566 0.2302

Results
Energy of formation (kcal/mol of atoms): -4.98
Space-group type: R-3m
E (eV per atom): -4.269
Spin magnetization (μB/f.u.): 0.001

# 22
First-principles (PBE) data for a relaxed structure of LiYHg2, as listed in Alexandria via LeMat-Bulk.

abc: 3.4915 3.5258 8.0256
angles: 64.05 90.00 90.00
Atoms (fractional coordinates):
Li 0.5000 0.2500 0.2500
Hg 0.0000 0.9678 0.0314
Hg 0.0000 0.5322 0.4686
Y 0.5000 0.7500 0.7500

Results
Energy of formation (kcal/mol of atoms): -9.36
Space-group type: P2/m
E (eV per atom): -2.651
Spin magnetization (μB/f.u.): 0.232

# 23
First-principles (PBE) data for a relaxed structure of LiY2Hg, as listed in Alexandria via LeMat-Bulk.

abc: 5.2036 5.2036 5.2036
angles: 60.00 60.00 60.00
Atoms (fractional coordinates):
Y 0.2500 0.2500 0.2500
Y 0.0000 0.0000 0.0000
Li 0.7500 0.7500 0.7500
Hg 0.5000 0.5000 0.5000

Results
Energy of formation (kcal/mol of atoms): 0.03
Space-group type: F-43m
E (eV per atom): -3.785
Spin magnetization (μB/f.u.): 0.523

# 24
First-principles (PBE) data for a relaxed structure of Li2YHg, as listed in Alexandria via LeMat-Bulk.

abc: 5.1832 5.1832 4.9638
angles: 61.38 61.38 49.65
Atoms (fractional coordinates):
Li 0.2708 0.2708 0.2285
Li 0.9952 0.9952 0.0049
Y 0.5013 0.5013 0.4988
Hg 0.7327 0.7327 0.7678

Results
Energy of formation (kcal/mol of atoms): -4.97
Space-group type: Imm2
E (eV per atom): -2.864
Spin magnetization (μB/f.u.): 0.000

# 25
First-principles (PBE) data for a relaxed structure of LiY2Hg, as listed in Alexandria via LeMat-Bulk.

abc: 3.7569 3.7199 8.2233
angles: 63.22 90.00 90.00
Atoms (fractional coordinates):
Y 0.0000 0.4996 0.5004
Y 0.0000 0.0004 0.9996
Li 0.5000 0.7500 0.7500
Hg 0.5000 0.2500 0.2500

Results
Energy of formation (kcal/mol of atoms): -4.84
Space-group type: P2/m
E (eV per atom): -3.996
Spin magnetization (μB/f.u.): 0.009

# 26
First-principles (PBE) data for a relaxed structure of LiY2Hg, as listed in Alexandria via LeMat-Bulk.

abc: 3.6038 3.6038 10.2753
angles: 79.90 79.90 60.00
Atoms (fractional coordinates):
Y 0.0792 0.0792 0.7625
Y 0.2542 0.2542 0.2374
Hg 0.6666 0.6666 0.0002
Li 0.5000 0.5000 0.4999

Results
Energy of formation (kcal/mol of atoms): -1.60
Space-group type: R3m
E (eV per atom): -3.855
Spin magnetization (μB/f.u.): 0.000